1.
CaMgGa, optimized geometry, DFT PBE; total magnetic moment = 0.00 μB per atom; space-group type = P-6m2
1.0
3.6171 0.0000 0.0000
0.0000 4.8603 0.0000
0.0000 -2.4301 4.2091
Ga Mg Ca
1 1 1
direct
0.1661 0.0000 0.0000 Ga
0.1670 0.3333 0.6667 Mg
0.6669 0.6667 0.3333 Ca

***

2.
Er4TlAg2Au, optimized geometry, DFT PBE; total magnetic moment = 0.00 μB per atom; space-group type = R-3m
1.0
-0.2399 -4.1305 -3.0509
1.5067 -4.5881 1.7623
-7.3869 -4.4382 2.2585
Er Ag Tl Au
4 2 1 1
direct
0.3803 0.3803 0.8592 Er
0.8704 0.8704 0.3889 Er
0.1296 0.1296 0.6111 Er
0.6197 0.6197 0.1408 Er
0.2544 0.2544 0.2367 Ag
0.7456 0.7456 0.7633 Ag
0.0000 0.0000 0.0000 Tl
0.5000 0.5000 0.5000 Au

***

Number 1: electronic total energy -7.50 eV per cell. Number 2: electronic total energy -33.38 eV per cell.